Entry from Alexandria via LeMat-Bulk: an optimized crystal structure of LiCrTeN2 (PBE).

Cell: 3.6937 3.6937 5.4900 Å, 90.00 90.00 90.00°
Last column: nearest neighbours and their distance in Å.
Element x y z (fractional)
Cr1 0.0000 0.0000 0.0000  4 N 1.85
Te1 0.0000 0.0000 0.5000  4 Li 2.61, 2 Cr 2.74
Li1 0.5000 0.5000 0.5000  4 Te 2.61
N1 0.0000 0.5000 0.0000  2 Cr 1.85
N2 0.5000 0.0000 0.0000  2 Cr 1.85

- energy (eV per formula unit) = -30.2
- formation energy without anion corrections (eV/f.u.) = 1.13

---

Entry from Alexandria via LeMat-Bulk: an optimized crystal structure of Mg2SnNO (PBE).

Cell: 3.8585 5.1928 3.8585 Å, 90.00 90.00 90.00°
Last column: nearest neighbours and their distance in Å.
Element x y z (fractional)
Mg1 0.0000 0.0000 0.5000  2 O 1.93
Mg2 0.5000 0.0000 0.0000  2 O 1.93
Sn1 0.5000 0.5000 0.5000  4 N 2.73
O1 0.0000 0.0000 0.0000  4 Mg 1.93
N1 0.0000 0.5000 0.0000  2 O 2.60, 4 Sn 2.73

- energy (eV per formula unit) = -21.3
- formation energy without anion corrections (eV/f.u.) = -0.86

---

Entry from Alexandria via LeMat-Bulk: an optimized crystal structure of CaThP2 (PBE).

Cell: 4.1959 4.1959 7.1478 Å, 72.93 72.93 60.00°
Last column: nearest neighbours and their distance in Å.
Element x y z (fractional)
P1 0.2539 0.2539 0.2383  3 Th 2.90, 3 Ca 2.99
P2 0.7461 0.7461 0.7617  3 Th 2.90, 3 Ca 2.99
Ca1 0.5000 0.5000 0.5000  6 P 2.99
Th1 0.0000 0.0000 0.0000  6 P 2.90

- formation energy (eV/atom) = -1.4011
- energy (eV per formula unit) = -25.8

---

Entry from Alexandria via LeMat-Bulk: an optimized crystal structure of Cd3InPb (PBE).

Cell: 4.2214 4.2214 7.7369 Å, 90.00 90.00 90.00°
Last column: nearest neighbours and their distance in Å.
Element x y z (fractional)
Cd1 0.0000 0.0000 0.6583  4 Cd 3.04, 1 Pb 3.12, 4 In 3.16
Cd2 0.5000 0.0000 0.3762  6 Cd 2.98-3.04, 2 Pb 3.22
Cd3 0.0000 0.5000 0.3762  6 Cd 2.98-3.04, 2 Pb 3.22
In1 0.5000 0.5000 0.7912  4 Cd 3.16
Pb1 0.0000 0.0000 0.0618  5 Cd 3.12-3.22

- formation energy (eV/atom) = 0.0978
- energy (eV per formula unit) = -8.7

---

Entry from Alexandria via LeMat-Bulk: an optimized crystal structure of Pd8Pt6Au (PBE).

Cell: 7.0651 7.0651 7.0651 Å, 58.30 58.30 58.30°
Last column: nearest neighbours and their distance in Å.
Element x y z (fractional)
Pd1 0.1213 0.6593 0.8177  6 Pd 2.65-2.82, 3 Pt 2.72-2.89, 1 Au 2.85
Pd2 0.1823 0.8787 0.3407  6 Pd 2.65-2.82, 3 Pt 2.72-2.89, 1 Au 2.85
Pd3 0.3407 0.1823 0.8787  6 Pd 2.65-2.82, 3 Pt 2.72-2.89, 1 Au 2.85
Pd4 0.5805 0.5805 0.5805  4 Pd 2.65-2.82, 6 Pt 2.80-2.85
Pd5 0.4195 0.4195 0.4195  4 Pd 2.65-2.82, 6 Pt 2.80-2.85
Pd6 0.6593 0.8177 0.1213  6 Pd 2.65-2.82, 3 Pt 2.72-2.89, 1 Au 2.85
Pd7 0.8177 0.1213 0.6593  6 Pd 2.65-2.82, 3 Pt 2.72-2.89, 1 Au 2.85
Pd8 0.8787 0.3407 0.1823  6 Pd 2.65-2.82, 3 Pt 2.72-2.89, 1 Au 2.85
Pt1 0.9376 0.4768 0.7219  3 Pt 2.65-2.75, 5 Pd 2.72-2.89, 1 Au 2.79
Pt2 0.2781 0.0624 0.5232  3 Pt 2.65-2.75, 5 Pd 2.72-2.89, 1 Au 2.79
Pt3 0.5232 0.2781 0.0624  3 Pt 2.65-2.75, 5 Pd 2.72-2.89, 1 Au 2.79
Pt4 0.4768 0.7219 0.9376  3 Pt 2.65-2.75, 5 Pd 2.72-2.89, 1 Au 2.79
Pt5 0.7219 0.9376 0.4768  3 Pt 2.65-2.75, 5 Pd 2.72-2.89, 1 Au 2.79
Pt6 0.0624 0.5232 0.2781  3 Pt 2.65-2.75, 5 Pd 2.72-2.89, 1 Au 2.79
Au1 0.0000 0.0000 0.0000  6 Pt 2.79, 6 Pd 2.85

- formation energy (eV/atom) = 0.1008
- energy (eV per formula unit) = -79.6

---

Entry from Alexandria via LeMat-Bulk: an optimized crystal structure of NaLaReRh2 (PBE).

Cell: 4.8542 5.2075 4.8542 Å, 90.00 90.00 90.00°
Last column: nearest neighbours and their distance in Å.
Element x y z (fractional)
Na1 0.0000 0.5000 0.0000  2 La 2.60
Re1 0.5000 0.5000 0.5000  4 Na 3.43, 8 Rh 3.56
Rh1 0.0000 0.0000 0.5000  2 La 2.43
Rh2 0.5000 0.0000 0.0000  2 La 2.43
La1 0.0000 0.0000 0.0000  4 Rh 2.43, 2 Na 2.60

- formation energy (eV/atom) = 1.6542
- energy (eV per formula unit) = -25.1

---

Entry from Alexandria via LeMat-Bulk: an optimized crystal structure of Ce2Sm6DyY3 (PBE).

Cell: 6.2204 6.2204 11.8931 Å, 95.01 95.01 120.01°
Last column: nearest neighbours and their distance in Å.
Element x y z (fractional)
Ce1 0.3334 0.6666 0.0000  6 Sm 3.56-3.57, 3 Ce 3.59, 3 Dy 3.59
Ce2 0.6666 0.3334 0.0000  6 Sm 3.56-3.57, 3 Ce 3.59, 3 Dy 3.59
Sm1 0.9169 0.5812 0.7519  2 Ce 3.56-3.57, 1 Dy 3.58, 6 Sm 3.58-3.62, 3 Y 3.60-3.61
Sm2 0.7475 0.7475 0.2484  2 Ce 3.57, 6 Sm 3.58-3.62, 1 Dy 3.58, 3 Y 3.60
Sm3 0.0831 0.4188 0.2481  2 Ce 3.56-3.57, 1 Dy 3.58, 6 Sm 3.58-3.62, 3 Y 3.60-3.61
Sm4 0.5812 0.9169 0.7519  2 Ce 3.56-3.57, 1 Dy 3.58, 6 Sm 3.58-3.62, 3 Y 3.60-3.61
Sm5 0.2525 0.2525 0.7516  2 Ce 3.57, 6 Sm 3.58-3.62, 1 Dy 3.58, 3 Y 3.60
Sm6 0.4188 0.0831 0.2481  2 Ce 3.56-3.57, 1 Dy 3.58, 6 Sm 3.58-3.62, 3 Y 3.60-3.61
Dy1 0.0000 0.0000 0.0000  6 Sm 3.58, 6 Ce 3.59
Y1 0.1663 0.8337 0.5000  6 Y 3.58-3.60, 6 Sm 3.60-3.61
Y2 0.8337 0.1663 0.5000  6 Y 3.58-3.60, 6 Sm 3.60-3.61
Y3 0.5000 0.5000 0.5000  6 Y 3.59-3.60, 6 Sm 3.60-3.61

- formation energy (eV/atom) = 0.0519
- energy (eV per formula unit) = -63.6

---

Entry from Alexandria via LeMat-Bulk: an optimized crystal structure of Na2PuNbO6 (PBE).

Cell: 5.6566 5.7611 8.0792 Å, 90.00 90.10 90.00°
Last column: nearest neighbours and their distance in Å.
Element x y z (fractional)
Na1 0.0066 0.9695 0.2504  4 O 2.42-2.63
Na2 0.5066 0.5306 0.7504  4 O 2.42-2.63
Na3 0.9934 0.0305 0.7496  4 O 2.42-2.63
Na4 0.4934 0.4694 0.2496  4 O 2.42-2.63
Pu1 0.5000 0.0000 0.0000  6 O 2.13-2.14
Pu2 0.0000 0.5000 0.5000  6 O 2.13-2.14
Nb1 0.5000 0.0000 0.5000  6 O 2.02
Nb2 0.0000 0.5000 0.0000  6 O 2.02
O1 0.2865 0.7017 0.0415  1 Nb 2.02, 1 Pu 2.13
O2 0.7865 0.7983 0.5416  1 Nb 2.02, 1 Pu 2.13
O3 0.7135 0.2983 0.9585  1 Nb 2.02, 1 Pu 2.13
O4 0.2135 0.2017 0.4584  1 Nb 2.02, 1 Pu 2.13
O5 0.3007 0.7155 0.4560  1 Nb 2.02, 1 Pu 2.14
O6 0.8007 0.7845 0.9561  1 Nb 2.02, 1 Pu 2.14
O7 0.6993 0.2845 0.5440  1 Nb 2.02, 1 Pu 2.14
O8 0.1993 0.2155 0.0439  1 Nb 2.02, 1 Pu 2.14
O9 0.9177 0.5220 0.2428  1 Nb 2.02, 1 Pu 2.13
O10 0.4177 0.9780 0.7428  1 Nb 2.02, 1 Pu 2.13
O11 0.0823 0.4780 0.7572  1 Nb 2.02, 1 Pu 2.13
O12 0.5823 0.0220 0.2572  1 Nb 2.02, 1 Pu 2.13

- energy (eV per formula unit) = -81.2
- formation energy without anion corrections (eV/f.u.) = -24.41

---

Entry from Alexandria via LeMat-Bulk: an optimized crystal structure of CaH2Pt (PBE).

Cell: 4.0221 4.0221 4.7189 Å, 64.78 64.78 60.00°
Last column: nearest neighbours and their distance in Å.
Element x y z (fractional)
H1 0.1340 0.1340 0.5980  1 Pt 1.65
H2 0.8660 0.8660 0.4020  1 Pt 1.65
Ca1 0.5000 0.5000 0.5000  6 H 2.36
Pt1 0.0000 0.0000 0.0000  2 H 1.65

- energy (eV per formula unit) = -17.1

---

Entry from Alexandria via LeMat-Bulk: an optimized crystal structure of CsSb2Pb (PBE).

Cell: 5.0196 5.0196 14.7273 Å, 98.87 98.87 95.44°
Last column: nearest neighbours and their distance in Å.
Element x y z (fractional)
Cs1 0.1403 0.1403 0.2156  8 Sb 3.95-4.29
Cs2 0.9247 0.9247 0.7844  8 Sb 3.95-4.29
Sb1 0.3503 0.3503 0.6339  4 Pb 3.16
Sb2 0.7163 0.7163 0.3661  4 Pb 3.16
Sb3 0.8388 0.4630 0.0000  1 Sb 2.79
Sb4 0.4630 0.8388 0.0000  1 Sb 2.79
Pb1 0.2831 0.7831 0.5000  4 Sb 3.16, 2 Pb 3.38
Pb2 0.7831 0.2831 0.5000  4 Sb 3.16, 2 Pb 3.38

- energy (eV per formula unit) = -13.4
- formation energy without anion corrections (eV/f.u.) = -0.55

---

Entry from Alexandria via LeMat-Bulk: an optimized crystal structure of Sm2PuNpN4 (PBE).

Cell: 3.5161 6.0919 6.0805 Å, 109.42 90.00 90.00°
Last column: nearest neighbours and their distance in Å.
Element x y z (fractional)
Sm1 0.5000 0.0000 0.5000  6 N 2.58-2.60
Sm2 0.0000 0.5000 0.5000  6 N 2.54-2.55
Pu1 0.0000 0.0000 0.0000  6 N 2.43-2.44
Np1 0.5000 0.5000 0.0000  6 N 2.37-2.39
N1 0.5000 0.2493 0.2257  1 Np 2.37, 2 Pu 2.43, 3 Sm 2.55-2.60
N2 0.5000 0.7507 0.7743  1 Np 2.37, 2 Pu 2.43, 3 Sm 2.55-2.60
N3 0.0000 0.2637 0.7742  2 Np 2.39, 1 Pu 2.44, 3 Sm 2.54-2.58
N4 0.0000 0.7363 0.2258  2 Np 2.39, 1 Pu 2.44, 3 Sm 2.54-2.58

- energy (eV per formula unit) = -80.8
- formation energy without anion corrections (eV/f.u.) = -10.81

---

Entry from Alexandria via LeMat-Bulk: an optimized crystal structure of POsCS (PBE).

Cell: 2.9654 4.4210 5.3392 Å, 89.78 75.36 70.57°
Last column: nearest neighbours and their distance in Å.
Element x y z (fractional)
P1 0.6138 0.1028 0.5468  1 C 1.79
S1 0.1069 0.6899 0.0591  1 C 1.71
Os1 0.9265 0.5309 0.4896  2 C 2.11-2.12, 2 P 2.36
C1 0.3351 0.4556 0.7697  1 S 1.71, 1 P 1.79

- energy (eV per formula unit) = -28.0
- formation energy without anion corrections (eV/f.u.) = 1.98